Entry 1
A relaxed structure of TiIn2Ni2, computed with PBE.

Values from the calculation:
Mass density in g/cm3: 7.9
Fermi-level density of states in states/eV/f.u.: 6.0
Crystal system: tetragonal

a b c (Å): 7.5966 7.5966 2.8601
angles (deg): 90.00 90.00 90.00
Element x y z (fractional)
Ni 0.1624 0.6624 0.5000
Ni 0.6624 0.8376 0.5000
Ni 0.8376 0.3376 0.5000
Ni 0.3376 0.1624 0.5000
In 0.3618 0.8618 0.0000
In 0.1382 0.3618 0.0000
In 0.6382 0.1382 0.0000
In 0.8618 0.6382 0.0000
Ti 0.5000 0.5000 0.0000
Ti 0.0000 0.0000 0.0000

Entry 2
A relaxed structure of TiIn2Ni2, computed with PBE.

Values from the calculation:
Mass density in g/cm3: 7.5
Fermi-level density of states in states/eV/f.u.: 5.4
Crystal system: tetragonal

a b c (Å): 3.6857 3.6857 6.9569
angles (deg): 74.64 74.64 90.00
Element x y z (fractional)
Ni 0.7500 0.2500 0.5000
Ni 0.2500 0.7500 0.5000
Ti 0.0000 0.0000 0.0000
In 0.3883 0.3883 0.2235
In 0.6117 0.6117 0.7765

Entry 3
A relaxed structure of TiIn2Ni2, computed with PBE.

Values from the calculation:
Mass density in g/cm3: 8.1
Fermi-level density of states in states/eV/f.u.: 4.6
Crystal system: tetragonal

a b c (Å): 7.2187 7.2187 3.1226
angles (deg): 90.00 90.00 90.00
Element x y z (fractional)
In 0.1675 0.6675 0.5000
In 0.3325 0.1675 0.5000
In 0.8325 0.3325 0.5000
In 0.6675 0.8325 0.5000
Ni 0.8704 0.6296 0.0000
Ni 0.3704 0.8704 0.0000
Ni 0.6296 0.1296 0.0000
Ni 0.1296 0.3704 0.0000
Ti 0.0000 0.0000 0.0000
Ti 0.5000 0.5000 0.0000

If you had to bet on the most stable structure above, which would it be? Bet on entry 3.